DFT (meta-GGA SCAN) results for a PBEsol-optimized structure of Y2AuIO.

As for the magnetization: 0.00 μB per cell. The uncorrected energy is -164.66 eV per cell. As for the formation energy from raw total energies: 0.63 eV/atom.

The space group is P4/mmm (No. 123) and the conventional cell measures 5.5353, 5.5353 and 4.9968 Å, with angles of 90.00, 90.00 and 90.00 degrees. The asymmetric unit holds Y at (0.0000, 0.5000, 0.0000), Au at (0.0000, 0.0000, 0.5000), I at (0.0000, 0.0000, 0.0000) and O at (0.5000, 0.5000, 0.5000).



DFT (meta-GGA SCAN) results for a PBEsol-optimized structure of OsAuI3.

As for the magnetization: 1.64 μB per cell. The uncorrected energy is -246.29 eV per cell. As for the formation energy from raw total energies: 1.00 eV/atom.

The space group is Pm-3m (No. 221) and the conventional cell measures 5.2761, 5.2761 and 5.2761 Å, with angles of 90.00, 90.00 and 90.00 degrees. The asymmetric unit holds Os at (0.0000, 0.0000, 0.0000), Au at (0.5000, 0.5000, 0.5000) and I at (0.0000, 0.0000, 0.5000).



DFT (meta-GGA SCAN) results for a PBEsol-optimized structure of SbOsAuI2.

As for the magnetization: 0.00 μB per cell. The uncorrected energy is -246.97 eV per cell. As for the formation energy from raw total energies: 0.96 eV/atom.

The space group is P4/mmm (No. 123) and the conventional cell measures 5.3823, 5.3823 and 4.9591 Å, with angles of 90.00, 90.00 and 90.00 degrees. The asymmetric unit holds Sb at (0.0000, 0.0000, 0.0000), Os at (0.0000, 0.0000, 0.5000), Au at (0.5000, 0.5000, 0.0000) and I at (0.0000, 0.5000, 0.5000).



DFT (meta-GGA SCAN) results for a PBEsol-optimized structure of P10Au7I.

For the offset from the most stable computed form, the calculation gives 0 meV per atom. As for the magnetization: 0.00 μB per cell. The uncorrected energy is -628.89 eV per cell. As for the formation energy from raw total energies: -0.23 eV/atom.

The space group is P-31m (No. 162) and the conventional cell measures 6.1630, 6.1630 and 11.0945 Å, with angles of 90.00, 90.00 and 120.00 degrees. The asymmetric unit holds P at (0.0000, 0.3745, 0.3014), P at (0.3333, 0.6667, 0.2071), Au at (0.0000, 0.0000, 0.2730), Au at (0.0000, 0.5000, 0.5000), Au at (0.3333, 0.6667, 0.0000) and I at (0.0000, 0.0000, 0.0000).



DFT (meta-GGA SCAN) results for a PBEsol-optimized structure of P10Au7I.

For the offset from the most stable computed form, the calculation gives 15 meV per atom. As for the magnetization: 0.00 μB per cell. The uncorrected energy is -628.62 eV per cell. As for the formation energy from raw total energies: -0.21 eV/atom.

The space group is P-62m (No. 189) and the conventional cell measures 6.1478, 6.1478 and 11.2314 Å, with angles of 90.00, 90.00 and 120.00 degrees. The asymmetric unit holds P at (0.0000, 0.3754, 0.2024), P at (0.3333, 0.6667, 0.2951), Au at (0.0000, 0.0000, 0.2321), Au at (0.0000, 0.4571, 0.0000), Au at (0.3333, 0.6667, 0.5000) and I at (0.0000, 0.0000, 0.5000).



DFT (meta-GGA SCAN) results for a PBEsol-optimized structure of P2AuSI.

For the offset from the most stable computed form, the calculation gives 0 meV per atom. As for the magnetization: 0.00 μB per cell. The uncorrected energy is -131.16 eV per cell. As for the formation energy from raw total energies: 1.03 eV/atom.

The space group is P4/mmm (No. 123) and the conventional cell measures 4.8360, 4.8360 and 4.7221 Å, with angles of 90.00, 90.00 and 90.00 degrees. The asymmetric unit holds P at (0.0000, 0.5000, 0.0000), Au at (0.0000, 0.0000, 0.0000), S at (0.0000, 0.0000, 0.5000) and I at (0.5000, 0.5000, 0.5000).



DFT (meta-GGA SCAN) results for a PBEsol-optimized structure of PdPt2AuI.

As for the magnetization: 0.86 μB per cell. The uncorrected energy is -272.82 eV per cell. As for the formation energy from raw total energies: 1.25 eV/atom.

The space group is P4/mmm (No. 123) and the conventional cell measures 4.8127, 4.8127 and 4.9073 Å, with angles of 90.00, 90.00 and 90.00 degrees. The asymmetric unit holds Pd at (0.0000, 0.0000, 0.0000), Pt at (0.0000, 0.5000, 0.0000), Au at (0.0000, 0.0000, 0.5000) and I at (0.5000, 0.5000, 0.5000).



DFT (meta-GGA SCAN) results for a PBEsol-optimized structure of RbAu3I.

As for the magnetization: 0.00 μB per cell. The uncorrected energy is -263.71 eV per cell. As for the formation energy from raw total energies: 0.25 eV/atom.

The space group is Pm-3m (No. 221) and the conventional cell measures 5.4161, 5.4161 and 5.4161 Å, with angles of 90.00, 90.00 and 90.00 degrees. The asymmetric unit holds Rb at (0.0000, 0.0000, 0.0000), Au at (0.0000, 0.5000, 0.5000) and I at (0.5000, 0.5000, 0.5000).